a | MgBeSCl2 | PBE | relaxed

Cell and atoms, written as CIF:
```
data_MgBeSCl2
_chemical_formula_sum 'Mg1 Be1 S1 Cl2'
_cell_length_a 4.2236
_cell_length_b 4.2236
_cell_length_c 5.2069
_cell_angle_alpha 90.00
_cell_angle_beta 90.00
_cell_angle_gamma 90.00
_space_group_name_H-M_alt 'P 4/m m m'
_space_group_IT_number 123
_space_group_name_Hall '-P 4 2'
loop_
_atom_site_label
_atom_site_type_symbol
_atom_site_fract_x
_atom_site_fract_y
_atom_site_fract_z
_atom_site_occupancy
Mg1 Mg 0.0000 0.0000 0.0000 1
Be1 Be 0.5000 0.5000 0.5000 1
S1 S 0.5000 0.5000 0.0000 1
Cl1 Cl 0.0000 0.5000 0.5000 1
```

Properties
For the volume, the calculation gives 18.58 Å³/atom. Its total magnetic moment is 0.0 μB/f.u. As for the calculated density: 2.436 g cm⁻³. Its crystal system is tetragonal.

***

b | MgBeSCl2 | PBE | relaxed

Cell and atoms, written as CIF:
```
data_MgBeSCl2
_chemical_formula_sum 'Mg1 Be1 S1 Cl2'
_cell_length_a 4.6292
_cell_length_b 4.6292
_cell_length_c 5.2903
_cell_angle_alpha 90.00
_cell_angle_beta 90.00
_cell_angle_gamma 90.00
_space_group_name_H-M_alt 'P 4/m m m'
_space_group_IT_number 123
_space_group_name_Hall '-P 4 2'
loop_
_atom_site_label
_atom_site_type_symbol
_atom_site_fract_x
_atom_site_fract_y
_atom_site_fract_z
_atom_site_occupancy
Mg1 Mg 0.0000 0.0000 0.0000 1
Be1 Be 0.5000 0.5000 0.5000 1
S1 S 0.0000 0.0000 0.5000 1
Cl1 Cl 0.0000 0.5000 0.0000 1
```

Properties
For the volume, the calculation gives 22.67 Å³/atom. Its total magnetic moment is 0.0 μB/f.u. As for the calculated density: 1.996 g cm⁻³. Its crystal system is tetragonal.

***

Quick one: least stable of them? b

***

a | Mn2BeCl | PBE | relaxed

Cell and atoms, written as CIF:
```
data_Mn2BeCl
_chemical_formula_sum 'Mn4 Be2 Cl2'
_cell_length_a 3.5160
_cell_length_b 3.5160
_cell_length_c 9.1508
_cell_angle_alpha 90.00
_cell_angle_beta 90.00
_cell_angle_gamma 90.00
_space_group_name_H-M_alt 'I -4 m 2'
_space_group_IT_number 119
_space_group_name_Hall 'I -4 -2'
loop_
_atom_site_label
_atom_site_type_symbol
_atom_site_fract_x
_atom_site_fract_y
_atom_site_fract_z
_atom_site_occupancy
Mn1 Mn 0.0000 0.0000 0.0000 1
Mn2 Mn 0.0000 0.5000 0.2500 1
Be1 Be 0.0000 0.5000 0.7500 1
Cl1 Cl 0.0000 0.0000 0.5000 1
```

Properties
For the volume, the calculation gives 14.14 Å³/atom. Its total magnetic moment is 7.3 μB/f.u. As for the calculated density: 4.531 g cm⁻³. Its crystal system is tetragonal.

***

b | Mn2BeCl | PBE | relaxed

Cell and atoms, written as CIF:
```
data_Mn2BeCl
_chemical_formula_sum 'Mn6 Be3 Cl3'
_cell_length_a 3.3043
_cell_length_b 3.3043
_cell_length_c 18.2418
_cell_angle_alpha 90.00
_cell_angle_beta 90.00
_cell_angle_gamma 120.00
_space_group_name_H-M_alt 'R -3 m'
_space_group_IT_number 166
_space_group_name_Hall '-R 3 2"'
loop_
_atom_site_label
_atom_site_type_symbol
_atom_site_fract_x
_atom_site_fract_y
_atom_site_fract_z
_atom_site_occupancy
Mn1 Mn 0.0000 0.0000 0.2303 1
Be1 Be 0.0000 0.0000 0.5000 1
Cl1 Cl 0.0000 0.0000 0.0000 1
```

Properties
For the volume, the calculation gives 14.37 Å³/atom. Its total magnetic moment is 6.7 μB/f.u. As for the calculated density: 4.458 g cm⁻³. Its crystal system is trigonal.

***

c | Mn2BeCl | PBE | relaxed

Cell and atoms, written as CIF:
```
data_Mn2BeCl
_chemical_formula_sum 'Mn4 Be2 Cl2'
_cell_length_a 5.6671
_cell_length_b 6.7475
_cell_length_c 2.8371
_cell_angle_alpha 90.00
_cell_angle_beta 103.34
_cell_angle_gamma 90.00
_space_group_name_H-M_alt 'C 1 2/m 1'
_space_group_IT_number 12
loop_
_space_group_symop_operation_xyz
'x,y,z'
'-x,-y,-z'
'-x,y,-z'
'x,-y,z'
'x+1/2,y+1/2,z'
'-x+1/2,-y+1/2,-z'
'-x+1/2,y+1/2,-z'
'x+1/2,-y+1/2,z'
loop_
_atom_site_label
_atom_site_type_symbol
_atom_site_fract_x
_atom_site_fract_y
_atom_site_fract_z
_atom_site_occupancy
Mn1 Mn 0.2500 0.2500 0.0000 1
Be1 Be 0.0000 0.0000 0.5000 1
Cl1 Cl 0.0000 0.5000 0.5000 1
```

Properties
For the volume, the calculation gives 13.19 Å³/atom. Its total magnetic moment is 6.2 μB/f.u. As for the calculated density: 4.856 g cm⁻³. Its crystal system is monoclinic.

***

Quick one: least stable of them? a

***

a | MnBeCl | PBE | relaxed

Cell and atoms, written as CIF:
```
data_MnBeCl
_chemical_formula_sum 'Mn1 Be1 Cl1'
_cell_length_a 4.0172
_cell_length_b 4.0172
_cell_length_c 2.9692
_cell_angle_alpha 90.00
_cell_angle_beta 90.00
_cell_angle_gamma 120.00
_space_group_name_H-M_alt 'P -6 m 2'
_space_group_IT_number 187
_space_group_name_Hall 'P -6 2'
loop_
_atom_site_label
_atom_site_type_symbol
_atom_site_fract_x
_atom_site_fract_y
_atom_site_fract_z
_atom_site_occupancy
Mn1 Mn 0.0000 0.0000 0.0000 1
Be1 Be 0.6667 0.3333 0.5000 1
Cl1 Cl 0.3333 0.6667 0.0000 1
```

Properties
For the volume, the calculation gives 13.83 Å³/atom. Its total magnetic moment is 2.9 μB/f.u. As for the calculated density: 3.978 g cm⁻³. Its crystal system is hexagonal.

***

b | MnBeCl | PBE | relaxed

Cell and atoms, written as CIF:
```
data_MnBeCl
_chemical_formula_sum 'Mn4 Be4 Cl4'
_cell_length_a 5.6809
_cell_length_b 5.6809
_cell_length_c 5.6809
_cell_angle_alpha 90.00
_cell_angle_beta 90.00
_cell_angle_gamma 90.00
_space_group_name_H-M_alt 'F -4 3 m'
_space_group_IT_number 216
_space_group_name_Hall 'F -4 2 3'
loop_
_atom_site_label
_atom_site_type_symbol
_atom_site_fract_x
_atom_site_fract_y
_atom_site_fract_z
_atom_site_occupancy
Mn1 Mn 0.0000 0.0000 0.0000 1
Be1 Be 0.0000 0.0000 0.5000 1
Cl1 Cl 0.2500 0.2500 0.7500 1
```

Properties
For the volume, the calculation gives 15.28 Å³/atom. Its total magnetic moment is 3.0 μB/f.u. As for the calculated density: 3.601 g cm⁻³. Its crystal system is cubic.

***

c | MnBeCl | PBE | relaxed

Cell and atoms, written as CIF:
```
data_MnBeCl
_chemical_formula_sum 'Mn4 Be4 Cl4'
_cell_length_a 5.6868
_cell_length_b 5.6868
_cell_length_c 5.6868
_cell_angle_alpha 90.00
_cell_angle_beta 90.00
_cell_angle_gamma 90.00
_space_group_name_H-M_alt 'F -4 3 m'
_space_group_IT_number 216
_space_group_name_Hall 'F -4 2 3'
loop_
_atom_site_label
_atom_site_type_symbol
_atom_site_fract_x
_atom_site_fract_y
_atom_site_fract_z
_atom_site_occupancy
Mn1 Mn 0.0000 0.0000 0.0000 1
Be1 Be 0.2500 0.2500 0.2500 1
Cl1 Cl 0.2500 0.2500 0.7500 1
```

Properties
For the volume, the calculation gives 15.33 Å³/atom. Its total magnetic moment is 2.9 μB/f.u. As for the calculated density: 3.590 g cm⁻³. Its crystal system is cubic.

***

Quick one: least stable of them? b

***

a | MnBeP2Cl | PBE | relaxed

Cell and atoms, written as CIF:
```
data_MnBeP2Cl
_chemical_formula_sum 'Mn1 Be1 P2 Cl1'
_cell_length_a 4.1544
_cell_length_b 4.1544
_cell_length_c 4.6029
_cell_angle_alpha 90.00
_cell_angle_beta 90.00
_cell_angle_gamma 90.00
_space_group_name_H-M_alt 'P 4/m m m'
_space_group_IT_number 123
_space_group_name_Hall '-P 4 2'
loop_
_atom_site_label
_atom_site_type_symbol
_atom_site_fract_x
_atom_site_fract_y
_atom_site_fract_z
_atom_site_occupancy
Mn1 Mn 0.0000 0.0000 0.0000 1
Be1 Be 0.5000 0.5000 0.5000 1
P1 P 0.0000 0.5000 0.5000 1
Cl1 Cl 0.5000 0.5000 0.0000 1
```

Properties
For the volume, the calculation gives 15.89 Å³/atom. Its total magnetic moment is 0.2 μB/f.u. As for the calculated density: 3.373 g cm⁻³. Its crystal system is tetragonal.

***

b | MnBeP2Cl | PBE | relaxed

Cell and atoms, written as CIF:
```
data_MnBeP2Cl
_chemical_formula_sum 'Mn1 Be1 P2 Cl1'
_cell_length_a 4.2542
_cell_length_b 4.2542
_cell_length_c 5.0457
_cell_angle_alpha 90.00
_cell_angle_beta 90.00
_cell_angle_gamma 90.00
_space_group_name_H-M_alt 'P 4/m m m'
_space_group_IT_number 123
_space_group_name_Hall '-P 4 2'
loop_
_atom_site_label
_atom_site_type_symbol
_atom_site_fract_x
_atom_site_fract_y
_atom_site_fract_z
_atom_site_occupancy
Mn1 Mn 0.0000 0.0000 0.0000 1
Be1 Be 0.5000 0.5000 0.5000 1
P1 P 0.0000 0.5000 0.0000 1
Cl1 Cl 0.0000 0.0000 0.5000 1
```

Properties
For the volume, the calculation gives 18.26 Å³/atom. Its total magnetic moment is 0.0 μB/f.u. As for the calculated density: 2.934 g cm⁻³. Its crystal system is tetragonal.

***

Quick one: least stable of them? a